No. 1
Compound: Sm4TlNi
Source: the Alexandria database
Functional: PBE-GGA
Structure: optimized geometry

Values from the calculation:
Fermi-level density of states: 1.0348 states/eV per atom
Formation energy from the elements: -1.41 eV/f.u.

Cell lengths 5.8368, 7.0566, 9.0677 Å; angles 90.00, 113.92, 90.00 degrees
Closest atoms and distances in Å follow each position.
Sites, in units of the cell vectors:
Tl (0.7247, 0.7500, 0.9348)  5 Sm 3.13-3.41
Tl (0.2753, 0.2500, 0.0652)  5 Sm 3.13-3.41
Sm (0.0527, 0.5056, 0.7208)  2 Ni 2.75-2.90
Sm (0.3612, 0.7500, 0.1302)  1 Ni 2.95, 1 Tl 3.27
Sm (0.4320, 0.7500, 0.5594)  1 Ni 2.67
Sm (0.9473, 0.4944, 0.2792)  2 Ni 2.75-2.90
Sm (0.6388, 0.2500, 0.8698)  1 Ni 2.95, 1 Tl 3.27
Sm (0.0527, 0.9944, 0.7208)  2 Ni 2.75-2.90
Sm (0.9473, 0.0056, 0.2792)  2 Ni 2.75-2.90
Sm (0.5680, 0.2500, 0.4406)  1 Ni 2.67
Ni (0.7902, 0.7500, 0.4470)  6 Sm 2.67-2.95
Ni (0.2098, 0.2500, 0.5530)  6 Sm 2.67-2.95

***

No. 2
Compound: KZrIn
Source: the Alexandria database
Functional: PBE-GGA
Structure: optimized geometry

Values from the calculation:
Fermi-level density of states: 0.9237 states/eV per atom
Formation energy from the elements: 1.34 eV/f.u.

Cell lengths 5.5579, 5.5579, 7.7629 Å; angles 90.00, 90.00, 90.00 degrees
Closest atoms and distances in Å follow each position.
Sites, in units of the cell vectors:
K (0.5000, 0.0000, 0.1406)  1 Zr 3.55, 4 In 3.94
K (0.0000, 0.5000, 0.8594)  1 Zr 3.55, 4 In 3.94
In (0.0000, 0.0000, 0.5000)  4 Zr 2.88
In (0.5000, 0.5000, 0.5000)  4 Zr 2.88
Zr (0.5000, 0.0000, 0.5978)  4 In 2.88
Zr (0.0000, 0.5000, 0.4022)  4 In 2.88

***

No. 3
Compound: Sr2Cd2In
Source: the Alexandria database
Functional: PBE-GGA
Structure: optimized geometry

Values from the calculation:
Fermi-level density of states: 0.6101 states/eV per atom
Formation energy from the elements: -0.69 eV/f.u.

Cell lengths 6.4547, 6.4547, 6.2867 Å; angles 59.11, 59.11, 90.00 degrees
Closest atoms and distances in Å follow each position.
Sites, in units of the cell vectors:
Cd (0.6571, 0.6571, 0.6858)  1 Cd 2.72, 1 In 2.96
Cd (0.3429, 0.3429, 0.3142)  1 Cd 2.72, 1 In 2.96
In (0.0000, 0.0000, 0.0000)  2 Cd 2.96
Sr (0.2500, 0.7500, 0.5000)  4 Cd 3.33
Sr (0.7500, 0.2500, 0.5000)  4 Cd 3.33

***

No. 4
Compound: TcMoIN2
Source: the Alexandria database
Functional: PBE-GGA
Structure: optimized geometry

Values from the calculation:
Total DFT energy (no corrections): -6.58 eV/atom
Fermi-level density of states: 0.7922 states/eV per atom

Cell lengths 3.9325, 3.9325, 5.7090 Å; angles 90.00, 90.00, 90.00 degrees
Closest atoms and distances in Å follow each position.
Sites, in units of the cell vectors:
Mo (0.5000, 0.5000, 0.5000)  4 I 2.78
N (0.0000, 0.5000, 0.0000)  2 Tc 1.97
N (0.5000, 0.0000, 0.0000)  2 Tc 1.97
I (0.0000, 0.0000, 0.5000)  4 Mo 2.78, 2 Tc 2.85
Tc (0.0000, 0.0000, 0.0000)  4 N 1.97

***

No. 5
Compound: SrFeCoAs2
Source: the Alexandria database
Functional: PBE-GGA
Structure: optimized geometry

Values from the calculation:
Fermi-level density of states: 0.5095 states/eV per atom
Formation energy from the elements: -2.97 eV/f.u.

Cell lengths 3.8998, 3.8998, 6.6234 Å; angles 107.12, 107.12, 90.00 degrees
Closest atoms and distances in Å follow each position.
Sites, in units of the cell vectors:
As (0.3548, 0.3548, 0.7096)  2 Co 2.32, 2 Fe 2.32
As (0.6452, 0.6452, 0.2904)  2 Co 2.32, 2 Fe 2.32
Sr (0.0000, 0.0000, 0.0000)  8 As 3.27, 4 Fe 3.59, 4 Co 3.59
Co (0.2500, 0.7500, 0.5000)  4 As 2.32
Fe (0.7500, 0.2500, 0.5000)  4 As 2.32

***

No. 6
Compound: SmSb2Au2
Source: the Alexandria database
Functional: PBE-GGA
Structure: optimized geometry

Values from the calculation:
Total DFT energy (no corrections): -4.44 eV/atom
Fermi-level density of states: 0.3582 states/eV per atom

Cell lengths 4.4515, 4.4444, 12.1723 Å; angles 90.00, 100.54, 90.00 degrees
Closest atoms and distances in Å follow each position.
Sites, in units of the cell vectors:
Sb (0.2503, 0.7500, 0.5006)  4 Sb 3.15, 4 Sm 3.32-3.33
Sb (0.1169, 0.2500, 0.2338)  4 Au 2.87
Sb (0.7497, 0.2500, 0.4994)  4 Sb 3.15, 4 Sm 3.32-3.33
Sb (0.8831, 0.7500, 0.7662)  4 Au 2.87
Sm (0.6467, 0.7500, 0.2934)  8 Sb 3.23-3.33, 4 Au 3.36-3.38
Sm (0.3533, 0.2500, 0.7066)  8 Sb 3.23-3.33, 4 Au 3.36-3.38
Au (0.0407, 0.7500, 0.0814)  2 Sb 2.87, 8 Au 2.96-3.15
Au (0.9593, 0.2500, 0.9186)  2 Sb 2.87, 8 Au 2.96-3.15
Au (0.4588, 0.7500, 0.9176)  2 Sb 2.87, 8 Au 2.97-3.15
Au (0.5412, 0.2500, 0.0824)  2 Sb 2.87, 8 Au 2.97-3.15

***

No. 7
Compound: AlTl2Mo
Source: the Alexandria database
Functional: PBE-GGA
Structure: optimized geometry

Values from the calculation:
Fermi-level density of states: 1.2364 states/eV per atom
Formation energy from the elements: 3.68 eV/f.u.

Cell lengths 4.9119, 4.9119, 4.9119 Å; angles 60.00, 60.00, 60.00 degrees
Closest atoms and distances in Å follow each position.
Sites, in units of the cell vectors:
Tl (0.7500, 0.7500, 0.7500)  4 Al 3.01, 4 Mo 3.01
Tl (0.2500, 0.2500, 0.2500)  4 Mo 3.01, 4 Al 3.01
Al (0.0000, 0.0000, 0.0000)  8 Tl 3.01
Mo (0.5000, 0.5000, 0.5000)  8 Tl 3.01

***

No. 8
Compound: Sr2AlAu
Source: the Alexandria database
Functional: PBE-GGA
Structure: optimized geometry

Values from the calculation:
Fermi-level density of states: 0.6704 states/eV per atom
Formation energy from the elements: -1.91 eV/f.u.

Cell lengths 4.5799, 4.8980, 6.2005 Å; angles 66.73, 90.00, 90.00 degrees
Closest atoms and distances in Å follow each position.
Sites, in units of the cell vectors:
Al (0.0000, 0.6768, 0.5216)  2 Au 2.59
Sr (0.0000, 0.9808, 0.9136)  3 Al 3.31-3.46, 4 Au 3.50-3.51
Sr (0.5000, 0.2723, 0.3304)  3 Au 3.36-3.39, 4 Al 3.52-3.53
Au (0.5000, 0.5702, 0.7344)  2 Al 2.59

***

No. 9
Compound: Li3HfV2S6
Source: the Alexandria database
Functional: PBE-GGA
Structure: optimized geometry

Values from the calculation:
Total DFT energy (no corrections): -6.12 eV/atom
Fermi-level density of states: 0.2396 states/eV per atom

Cell lengths 5.9735, 5.9735, 6.4876 Å; angles 98.65, 98.65, 119.02 degrees
Closest atoms and distances in Å follow each position.
Sites, in units of the cell vectors:
Li (0.8269, 0.1731, 0.5000)  6 S 2.51-2.66
Li (0.1731, 0.8269, 0.5000)  6 S 2.51-2.66
Li (0.5000, 0.5000, 0.5000)  6 S 2.50-2.67
S (0.4256, 0.0751, 0.2256)  2 V 2.44-2.65, 3 Li 2.51-2.67, 1 Hf 2.53
S (0.9249, 0.5744, 0.7744)  2 V 2.44-2.65, 3 Li 2.51-2.67, 1 Hf 2.53
S (0.2504, 0.2504, 0.7448)  2 V 2.33, 3 Li 2.50-2.56, 1 Hf 2.56
S (0.5744, 0.9249, 0.7744)  2 V 2.44-2.65, 3 Li 2.51-2.67, 1 Hf 2.53
S (0.0751, 0.4256, 0.2256)  2 V 2.44-2.65, 3 Li 2.51-2.67, 1 Hf 2.53
S (0.7496, 0.7496, 0.2552)  2 V 2.33, 3 Li 2.50-2.56, 1 Hf 2.56
Hf (0.0000, 0.0000, 0.0000)  6 S 2.53-2.56
V (0.3664, 0.6336, 0.0000)  4 S 2.33-2.44
V (0.6336, 0.3664, 0.0000)  4 S 2.33-2.44

***

No. 10
Compound: VInOs3
Source: the Alexandria database
Functional: PBE-GGA
Structure: optimized geometry

Values from the calculation:
Fermi-level density of states: 1.4264 states/eV per atom
Formation energy from the elements: 14.22 eV/f.u.

Cell lengths 4.7852, 4.7852, 4.7852 Å; angles 90.00, 90.00, 90.00 degrees
Closest atoms and distances in Å follow each position.
Sites, in units of the cell vectors:
In (0.0000, 0.0000, 0.0000)  6 Os 2.39
Os (0.0000, 0.0000, 0.5000)  2 In 2.39
Os (0.0000, 0.5000, 0.0000)  2 In 2.39
Os (0.5000, 0.0000, 0.0000)  2 In 2.39
V (0.5000, 0.5000, 0.5000)  12 Os 3.38

***

No. 11
Compound: NaSr2Pr
Source: the Alexandria database
Functional: PBE-GGA
Structure: optimized geometry

Values from the calculation:
Fermi-level density of states: 1.2522 states/eV per atom
Formation energy from the elements: 1.08 eV/f.u.

Cell lengths 3.8594, 3.8594, 14.2318 Å; angles 82.21, 82.21, 60.00 degrees
Closest atoms and distances in Å follow each position.
Sites, in units of the cell vectors:
Pr (0.0000, 0.0000, 0.0000)  2 Sr 3.68, 6 Pr 3.86
Sr (0.0873, 0.0873, 0.7382)  1 Pr 3.68, 6 Sr 3.86, 3 Na 4.02
Sr (0.9127, 0.9127, 0.2618)  1 Pr 3.68, 6 Sr 3.86, 3 Na 4.02
Na (0.5000, 0.5000, 0.5000)  6 Na 3.86, 6 Sr 4.02

***

No. 12
Compound: Ac2TlPb
Source: the Alexandria database
Functional: PBE-GGA
Structure: optimized geometry

Values from the calculation:
Fermi-level density of states: 0.9475 states/eV per atom
Formation energy from the elements: -1.85 eV/f.u.

Cell lengths 5.0095, 4.7209, 6.7780 Å; angles 90.00, 111.69, 90.00 degrees
Closest atoms and distances in Å follow each position.
Sites, in units of the cell vectors:
Tl (0.5321, 0.5000, 0.0642)  2 Pb 3.18, 5 Ac 3.47-3.50
Ac (0.8075, 0.5000, 0.6150)  3 Tl 3.47-3.78, 4 Pb 3.51
Ac (0.0825, 0.0000, 0.1649)  4 Tl 3.50, 3 Pb 3.53-3.73
Pb (0.3625, 0.0000, 0.7250)  2 Tl 3.18, 5 Ac 3.51-3.53

***

No. 13
Compound: KRbGa3
Source: the Alexandria database
Functional: PBE-GGA
Structure: optimized geometry

Values from the calculation:
Fermi-level density of states: 1.6835 states/eV per atom
Formation energy from the elements: 3.98 eV/f.u.

Cell lengths 6.1629, 6.1629, 6.1629 Å; angles 90.00, 90.00, 90.00 degrees
Closest atoms and distances in Å follow each position.
Sites, in units of the cell vectors:
K (0.5000, 0.5000, 0.5000)  12 Ga 4.36
Ga (0.5000, 0.0000, 0.0000)  2 Rb 3.08
Ga (0.0000, 0.5000, 0.0000)  2 Rb 3.08
Ga (0.0000, 0.0000, 0.5000)  2 Rb 3.08
Rb (0.0000, 0.0000, 0.0000)  6 Ga 3.08

***

No. 14
Compound: Nd5TlNi2
Source: the Alexandria database
Functional: PBE-GGA
Structure: optimized geometry

Values from the calculation:
Fermi-level density of states: 1.0389 states/eV per atom
Formation energy from the elements: -2.04 eV/f.u.

Cell lengths 7.9608, 7.9608, 8.8755 Å; angles 116.65, 116.65, 90.00 degrees
Closest atoms and distances in Å follow each position.
Sites, in units of the cell vectors:
Ni (0.8758, 0.6242, 0.0000)  1 Ni 2.80, 6 Nd 2.94-3.07
Ni (0.6242, 0.1242, 0.0000)  1 Ni 2.80, 6 Nd 2.94-3.07
Ni (0.1242, 0.3758, 0.0000)  1 Ni 2.80, 6 Nd 2.94-3.07
Ni (0.3758, 0.8758, 0.0000)  1 Ni 2.80, 6 Nd 2.94-3.07
Nd (0.7053, 0.2053, 0.7280)  3 Ni 2.94-3.07
Nd (0.2053, 0.0227, 0.7280)  3 Ni 2.94-3.07
Nd (0.0227, 0.5227, 0.7280)  3 Ni 2.94-3.07
Nd (0.0000, 0.0000, 0.0000)  4 Ni 3.15, 2 Tl 3.43
Nd (0.2947, 0.7947, 0.2720)  3 Ni 2.94-3.07
Nd (0.5000, 0.5000, 0.0000)  4 Ni 3.15, 2 Tl 3.43
Nd (0.5227, 0.7053, 0.7280)  3 Ni 2.94-3.07
Nd (0.4773, 0.2947, 0.2720)  3 Ni 2.94-3.07
Nd (0.7947, 0.9773, 0.2720)  3 Ni 2.94-3.07
Nd (0.9773, 0.4773, 0.2720)  3 Ni 2.94-3.07
Tl (0.2500, 0.2500, 0.5000)  10 Nd 3.38-3.43
Tl (0.7500, 0.7500, 0.5000)  10 Nd 3.38-3.43

***

No. 15
Compound: BeReN2
Source: the Alexandria database
Functional: PBE-GGA
Structure: optimized geometry

Values from the calculation:
Total DFT energy (no corrections): -8.23 eV/atom
Fermi-level density of states: 0.3853 states/eV per atom

Cell lengths 5.9132, 5.9132, 5.9132 Å; angles 28.19, 28.19, 28.19 degrees
Closest atoms and distances in Å follow each position.
Sites, in units of the cell vectors:
N (0.0905, 0.0905, 0.0905)  1 Be 1.54
N (0.9095, 0.9095, 0.9095)  1 Be 1.54
Re (0.5000, 0.5000, 0.5000)  6 N 2.11
Be (0.0000, 0.0000, 0.0000)  2 N 1.54

***

No. 16
Compound: K2Zn2F7
Source: the Alexandria database
Functional: PBE-GGA
Structure: optimized geometry

Values from the calculation:
Total DFT energy (no corrections): -3.90 eV/atom
Fermi-level density of states: 0.3574 states/eV per atom

Cell lengths 3.7743, 7.3949, 7.3949 Å; angles 116.31, 88.91, 88.91 degrees
Closest atoms and distances in Å follow each position.
Sites, in units of the cell vectors:
F (0.9819, 0.8751, 0.5727)  1 Zn 1.91
F (0.0181, 0.1249, 0.4273)  1 Zn 1.91
F (0.0181, 0.4273, 0.1249)  1 Zn 1.91
F (0.0000, 0.0000, 0.0000)  2 Zn 1.96
F (0.4900, 0.6769, 0.6769)  2 Zn 1.97
F (0.5100, 0.3231, 0.3231)  2 Zn 1.97
F (0.9819, 0.5727, 0.8751)  1 Zn 1.91
K (0.5000, 0.2642, 0.7358)  4 F 2.78-2.79
K (0.5000, 0.7358, 0.2642)  4 F 2.78-2.79
Zn (0.0163, 0.2510, 0.2510)  5 F 1.91-1.97
Zn (0.9837, 0.7490, 0.7490)  5 F 1.91-1.97

***

No. 17
Compound: HfAlAu2
Source: the Alexandria database
Functional: PBE-GGA
Structure: optimized geometry

Values from the calculation:
Fermi-level density of states: 0.5618 states/eV per atom
Formation energy from the elements: -1.74 eV/f.u.

Cell lengths 3.1690, 3.1690, 7.1248 Å; angles 90.00, 90.00, 90.00 degrees
Closest atoms and distances in Å follow each position.
Sites, in units of the cell vectors:
Al (0.5000, 0.5000, 0.0000)  8 Au 2.76
Au (0.0000, 0.0000, 0.7734)  4 Al 2.76, 4 Hf 2.97
Au (0.0000, 0.0000, 0.2266)  4 Al 2.76, 4 Hf 2.97
Hf (0.5000, 0.5000, 0.5000)  8 Au 2.97, 4 Hf 3.17

***

| no. | calculated volume (Å³/cell) |
| --- | --- |
| 1 | 341 |
| 2 | 240 |
| 3 | 180 |
| 4 | 88 |
| 5 | 92 |
| 6 | 237 |
| 7 | 84 |
| 8 | 128 |
| 9 | 193 |
| 10 | 110 |
| 11 | 181 |
| 12 | 149 |
| 13 | 234 |
| 14 | 435 |
| 15 | 41 |
| 16 | 185 |
| 17 | 72 |